Entry 1:
# TcHg2Cl (SCAN, single point on PBEsol structure)
data_TcHg2Cl
_space_group_name_H-M_alt 'I m m 2'
_space_group_IT_number 44
_space_group_name_Hall 'I 2 -2'
_cell_length_a 2.908
_cell_length_b 4.785
_cell_length_c 12.241
_cell_angle_alpha 90.00
_cell_angle_beta 90.00
_cell_angle_gamma 90.00
loop_
_atom_site_label
_atom_site_fract_x
_atom_site_fract_y
_atom_site_fract_z
_atom_site_occupancy
Tc1 0.000 0.000 0.000 1
Hg1 0.000 0.000 0.530 1
Hg2 0.000 0.500 0.696 1
Cl1 0.000 0.500 0.351 1
# - Polymorph energy (0 for the lowest one): 0.0 meV/atom

Entry 2:
Sc4MnTe at its PBEsol-relaxed geometry, computed with SCAN.

Cell and atoms, written as CIF:
```
data_Sc4MnTe
_space_group_name_H-M_alt 'F -4 3 m'
_space_group_IT_number 216
_space_group_name_Hall 'F -4 2 3'
_cell_length_a 8.116
_cell_length_b 8.116
_cell_length_c 8.116
_cell_angle_alpha 90.00
_cell_angle_beta 90.00
_cell_angle_gamma 90.00
loop_
_atom_site_label
_atom_site_fract_x
_atom_site_fract_y
_atom_site_fract_z
_atom_site_occupancy
Sc1 0.124 0.124 0.376 1
Mn1 0.250 0.250 0.750 1
Te1 0.000 0.000 0.000 1
```

Entry 3:
Lu3O2F5 at its PBEsol-relaxed geometry, computed with SCAN.

Cell and atoms, written as CIF:
```
data_Lu3O2F5
_space_group_name_H-M_alt 'P n m a'
_space_group_IT_number 62
_space_group_name_Hall '-P 2ac 2n'
_cell_length_a 5.444
_cell_length_b 16.645
_cell_length_c 5.180
_cell_angle_alpha 90.00
_cell_angle_beta 90.00
_cell_angle_gamma 90.00
loop_
_atom_site_label
_atom_site_fract_x
_atom_site_fract_y
_atom_site_fract_z
_atom_site_occupancy
Lu1 0.171 0.097 0.039 1
Lu2 0.237 0.250 0.457 1
O1 0.040 0.669 0.702 1
F1 0.109 0.250 0.858 1
F2 0.120 0.514 0.786 1
F3 0.166 0.625 0.175 1
```

Entry 4:
Ag2HgS at its PBEsol-relaxed geometry, computed with SCAN.

Cell and atoms, written as CIF:
```
data_Ag2HgS
_space_group_name_H-M_alt 'I -4 2 d'
_space_group_IT_number 122
_space_group_name_Hall 'I -4 2bw'
_cell_length_a 5.248
_cell_length_b 5.248
_cell_length_c 14.377
_cell_angle_alpha 90.00
_cell_angle_beta 90.00
_cell_angle_gamma 90.00
loop_
_atom_site_label
_atom_site_fract_x
_atom_site_fract_y
_atom_site_fract_z
_atom_site_occupancy
Ag1 0.147 0.250 0.125 1
Hg1 0.000 0.000 0.500 1
S1 0.000 0.000 0.000 1
```

| no. | uncorrected formation energy (meV per atom) |
| --- | --- |
| 1 | 182 |
| 2 | 208 |
| 3 | -4391 |
| 4 | 9 |